Entry from Alexandria: V3AuN after structural relaxation (GGA-PBE).

DOS at the Fermi energy in states/eV per atom: 0.969
Raw total energy in eV per atom: -8.342
Formation energy without anion corrections in eV/f.u.: -2.75
V in Å³/atom: 12.68

Cell lengths 7.2719, 7.2719, 4.9315 Å; angles 90.01, 90.01, 103.53 degrees
Fractional coordinates of all 20 atoms:
V (0.0496, 0.1848, 0.4163)
V (0.0611, 0.6830, 0.0844)
V (0.1722, 0.5513, 0.5784)
V (0.1848, 0.0496, 0.9163)
V (0.3170, 0.9389, 0.4156)
V (0.4487, 0.8278, 0.9216)
V (0.5513, 0.1722, 0.0784)
V (0.6830, 0.0611, 0.5844)
V (0.8152, 0.9504, 0.0837)
V (0.8278, 0.4487, 0.4216)
V (0.9389, 0.3170, 0.9156)
V (0.9504, 0.8152, 0.5837)
Au (0.3017, 0.4321, 0.0859)
Au (0.4321, 0.3017, 0.5859)
Au (0.5679, 0.6983, 0.4141)
Au (0.6983, 0.5679, 0.9141)
N (0.0670, 0.9330, 0.2500)
N (0.1991, 0.8009, 0.7500)
N (0.8009, 0.1991, 0.2500)
N (0.9330, 0.0670, 0.7500)